Run a
VASP calculation (GGA-PBE) on an optimized crystal structure of B5C7.

abc: 11.5398 2.5578 5.4452
angles: 90.00 103.26 90.00
Last column: nearest neighbours and their distance in Å.
Space group Cm (No. 8)
Asymmetric unit:
B  0.0000  0.0000  0.0000 x2  1 C 1.56, 1 B 1.71
B  0.0565  0.0000  0.3190 x2  1 C 1.57, 1 B 1.71
B  0.1669  0.5000  0.3647 x2  1 C 1.57
B  0.2498  0.5000  0.1083 x2  3 C 1.55-1.64
B  0.3863  0.0000  0.9861 x2  2 C 1.65, 2 B 1.82
C  0.0752  0.0000  0.7953 x2  1 B 1.56, 3 C 1.57-1.61
C  0.1556  0.5000  0.8315 x2  3 C 1.57, 1 B 1.64
C  0.2407  0.5000  0.6448 x2  3 C 1.55-1.57, 1 B 1.57
C  0.3178  0.0000  0.2202 x2  3 B 1.55-1.65, 1 C 1.57
C  0.3185  0.0000  0.6853 x2  3 C 1.55-1.57, 1 B 1.65
C  0.4009  0.0000  0.4925 x2  4 C 1.57
C  0.4817  0.5000  0.5269 x2  3 C 1.57-1.61, 1 B 1.57

- Fermi-level density of states: 5.2 states/eV/cell

Run b
VASP calculation (GGA-PBE) on an optimized crystal structure of B5C7.

abc: 11.4377 2.5825 5.4435
angles: 90.00 100.71 90.00
Last column: nearest neighbours and their distance in Å.
Space group Cm (No. 8)
Asymmetric unit:
B  0.0000  0.0000  0.0000 x2  1 C 1.54, 2 B 1.70
B  0.0786  0.5000  0.1507 x2  1 C 1.51
B  0.1590  0.5000  0.8726 x2  3 C 1.62-1.66
B  0.2486  0.0000  0.4436 x2  4 C 1.64-1.71
B  0.4016  0.5000  0.2919 x2  3 C 1.59-1.62
C  0.0735  0.5000  0.5999 x2  3 C 1.54-1.58, 1 B 1.62
C  0.1562  0.5000  0.4069 x2  3 B 1.51-1.66, 1 C 1.54
C  0.2507  0.0000  0.9413 x2  2 C 1.51-1.60, 2 B 1.66
C  0.3247  0.0000  0.2022 x2  1 C 1.51, 2 B 1.59
C  0.3290  0.0000  0.7273 x2  3 C 1.56-1.60, 1 B 1.64
C  0.4073  0.5000  0.7561 x2  1 B 1.54, 3 C 1.56-1.58
C  0.4925  0.5000  0.5580 x2  3 C 1.58, 1 B 1.62

- Fermi-level density of states: 4.3 states/eV/cell

Relative stability in meV/atom, measured from the most stable structure: run a 25; run b 0

Run a
VASP calculation (GGA-PBE) on an optimized crystal structure of Ac2YLu.

abc: 8.4415 8.4415 8.4415
angles: 90.00 90.00 90.00
Last column: nearest neighbours and their distance in Å.
Space group Fm-3m (No. 225)
Asymmetric unit:
Ac  0.2500  0.2500  0.2500 x8  4 Lu 3.66, 4 Y 3.66
Y  0.0000  0.0000  0.0000 x4  8 Ac 3.66
Lu  0.0000  0.0000  0.5000 x4  8 Ac 3.66

- Fermi-level density of states: 25.3 states/eV/cell

Run b
VASP calculation (GGA-PBE) on an optimized crystal structure of Ac2YLu.

abc: 5.5242 5.5242 4.8782
angles: 90.00 90.00 90.00
Last column: nearest neighbours and their distance in Å.
Space group P4/mmm (No. 123)
Asymmetric unit:
Ac  0.0000  0.5000  0.0000 x2  4 Lu 3.68, 4 Y 3.68, 4 Ac 3.91
Y  0.0000  0.0000  0.5000 x1  8 Ac 3.68, 4 Lu 3.91
Lu  0.5000  0.5000  0.5000 x1  8 Ac 3.68, 4 Y 3.91

- Fermi-level density of states: 5.1 states/eV/cell

Relative stability in meV/atom, measured from the most stable structure: run a 25; run b 0